Entry 1:
Computed, not measured: a relaxed structure of Th6P3Se2S at the PBE-GGA level of DFT.

Uncorrected formation energy: -1634.3 meV/atom
M_tot: 0.00 μB per formula unit
Space-group type: No. 12

```
Th6P3Se2S
1.0
9.055 -2.079 0.000
9.055 2.079 0.000
-1.935 0.000 8.056
Th P Se S
6 3 2 1
Direct
0.005 0.005 0.249 Th
0.333 0.333 0.428 Th
0.338 0.338 0.906 Th
0.662 0.662 0.094 Th
0.667 0.667 0.572 Th
0.995 0.995 0.751 Th
0.168 0.168 0.334 P
0.500 0.500 0.000 P
0.832 0.832 0.666 P
0.166 0.166 0.834 Se
0.834 0.834 0.166 Se
0.500 0.500 0.500 S
```


Entry 2:
Computed, not measured: a relaxed structure of Th8P3Se4S at the PBE-GGA level of DFT.

Uncorrected formation energy: -1630.8 meV/atom
M_tot: 0.00 μB per formula unit
Space-group type: No. 166

```
Th8P3Se4S
1.0
4.123 2.380 6.935
-4.123 2.380 6.935
0.000 -4.760 6.935
Th P Se S
8 3 4 1
Direct
0.243 0.743 0.743 Th
0.244 0.244 0.244 Th
0.257 0.257 0.757 Th
0.257 0.757 0.257 Th
0.743 0.243 0.743 Th
0.743 0.743 0.243 Th
0.756 0.756 0.756 Th
0.757 0.257 0.257 Th
0.000 0.000 0.500 P
0.000 0.500 0.000 P
0.500 0.000 0.000 P
0.000 0.000 0.000 Se
0.000 0.500 0.500 Se
0.500 0.000 0.500 Se
0.500 0.500 0.000 Se
0.500 0.500 0.500 S
```


Entry 3:
Computed, not measured: a relaxed structure of Th6P3SeS2 at the PBE-GGA level of DFT.

Uncorrected formation energy: -1675.1 meV/atom
M_tot: 0.00 μB per formula unit
Space-group type: No. 12

```
Th6P3SeS2
1.0
8.978 -2.071 0.000
8.978 2.071 0.000
-1.857 0.000 7.995
Th P Se S
6 3 1 2
Direct
0.000 0.000 0.238 Th
0.000 0.000 0.762 Th
0.329 0.329 0.417 Th
0.334 0.334 0.915 Th
0.666 0.666 0.085 Th
0.671 0.671 0.583 Th
0.165 0.165 0.333 P
0.500 0.500 0.000 P
0.835 0.835 0.667 P
0.500 0.500 0.500 Se
0.167 0.167 0.833 S
0.833 0.833 0.167 S
```


Entry 4:
Computed, not measured: a relaxed structure of Th6P2Se3S at the PBE-GGA level of DFT.

Uncorrected formation energy: -1634.1 meV/atom
M_tot: 0.00 μB per formula unit
Space-group type: No. 12

```
Th6P2Se3S
1.0
9.121 -2.081 0.000
9.121 2.081 0.000
-2.095 0.000 8.042
Th P Se S
6 2 3 1
Direct
0.004 0.004 0.239 Th
0.328 0.328 0.427 Th
0.338 0.338 0.907 Th
0.662 0.662 0.093 Th
0.672 0.672 0.573 Th
0.996 0.996 0.761 Th
0.166 0.166 0.332 P
0.834 0.834 0.668 P
0.168 0.168 0.833 Se
0.500 0.500 0.500 Se
0.832 0.832 0.167 Se
0.500 0.500 0.000 S
```


Entry 5:
Computed, not measured: a relaxed structure of TiP2SeS at the PBE-GGA level of DFT.

Uncorrected formation energy: 294.5 meV/atom
E above lowest polymorph: 0.0 meV per atom
M_tot: 0.00 μB per formula unit
Space-group type: No. 123

```
TiP2SeS
1.0
4.854 0.000 0.000
0.000 4.854 0.000
0.000 0.000 4.452
Ti P Se S
1 2 1 1
Direct
0.000 0.000 0.000 Ti
0.000 0.500 0.000 P
0.500 0.000 0.000 P
0.500 0.500 0.500 Se
0.000 0.000 0.500 S
```


Entry 6:
Computed, not measured: a relaxed structure of TiPSeS2 at the PBE-GGA level of DFT.

Uncorrected formation energy: 709.9 meV/atom
E above lowest polymorph: 600.4 meV per atom
M_tot: 0.08 μB per formula unit
Space-group type: No. 123

```
TiPSeS2
1.0
4.653 0.000 0.000
0.000 4.653 0.000
0.000 0.000 4.737
Ti P Se S
1 1 1 2
Direct
0.000 0.000 0.000 Ti
0.500 0.500 0.000 P
0.500 0.500 0.500 Se
0.000 0.500 0.500 S
0.500 0.000 0.500 S
```


Entry 7:
Computed, not measured: a relaxed structure of TiPSeS2 at the PBE-GGA level of DFT.

Uncorrected formation energy: 109.5 meV/atom
E above lowest polymorph: 0.0 meV per atom
M_tot: 0.35 μB per formula unit
Space-group type: No. 123

```
TiPSeS2
1.0
4.530 0.000 0.000
0.000 4.530 0.000
0.000 0.000 5.176
Ti P Se S
1 1 1 2
Direct
0.000 0.000 0.000 Ti
0.000 0.000 0.500 P
0.500 0.500 0.500 Se
0.000 0.500 0.000 S
0.500 0.000 0.000 S
```


Entry 8:
Computed, not measured: a relaxed structure of TiP2SeS at the PBE-GGA level of DFT.

Uncorrected formation energy: 860.5 meV/atom
E above lowest polymorph: 566.0 meV per atom
M_tot: 0.00 μB per formula unit
Space-group type: No. 123

```
TiP2SeS
1.0
4.680 0.000 0.000
0.000 4.680 0.000
0.000 0.000 4.631
Ti P Se S
1 2 1 1
Direct
0.000 0.000 0.000 Ti
0.000 0.500 0.500 P
0.500 0.000 0.500 P
0.500 0.500 0.500 Se
0.500 0.500 0.000 S
```


Number 1: electronic total energy -0.5602 Ry/atom. Number 2: electronic total energy -0.5501 Ry/atom. Number 3: electronic total energy -0.5671 Ry/atom. Number 4: electronic total energy -0.5484 Ry/atom. Number 5: electronic total energy -0.3653 Ry/atom. Number 6: electronic total energy -0.3160 Ry/atom. Number 7: electronic total energy -0.3601 Ry/atom. Number 8: electronic total energy -0.3237 Ry/atom.